Record 1
Material: Tb8Er3Sc3
Method: DFT, GGA-PBE
State: optimized geometry

Theoretical density (g/cm3): 7.5
Calculated volume (Å³/cell): 847
M_tot (μB per formula unit): 0.0
Crystal system: orthorhombic
Density of states at the Fermi level (states/eV/cell): 43.90
ΔH_f (0 K) (meV/atom): 144

Unit cell a=5.5163 b=14.5810 c=10.5351 alpha=90.00 beta=90.00 gamma=90.00
Closest atoms and distances in Å follow each position.
Space group Imm2 (No. 44)
Inequivalent atoms, fractional coordinates:
Tb (0.0000, 0.1038, 0.9995) x4  5 Tb 3.03-3.31
Tb (0.0000, 0.1038, 0.3134) x4  5 Tb 3.03-3.31
Tb (0.0000, 0.2755, 0.8115) x4  6 Tb 3.19-3.48, 2 Sc 3.48
Tb (0.0000, 0.2762, 0.5000) x4  6 Tb 3.19-3.48, 2 Sc 3.48
Er (0.0000, 0.0000, 0.6563) x2  4 Er 3.46, 4 Sc 3.84
Er (0.0000, 0.5000, 0.3540) x2  3 Sc 3.19-3.39, 2 Er 3.46, 4 Tb 3.50
Er (0.0000, 0.5000, 0.9583) x2  3 Sc 3.18-3.39, 2 Er 3.46, 4 Tb 3.50
Sc (0.0000, 0.3166, 0.1555) x4  2 Er 3.39, 8 Tb 3.48-3.68
Sc (0.0000, 0.5000, 0.6563) x2  2 Er 3.18-3.19, 8 Tb 3.55

---

Record 2
Material: VP2Pd
Method: DFT, GGA-PBE
State: optimized geometry

Theoretical density (g/cm3): 6.7
Calculated volume (Å³/cell): 218
M_tot (μB per formula unit): 0.0
Crystal system: cubic
Density of states at the Fermi level (states/eV/cell): 8.28
ΔH_f (0 K) (meV/atom): -162

Unit cell a=6.0225 b=6.0225 c=6.0225 alpha=90.00 beta=90.00 gamma=90.00
Closest atoms and distances in Å follow each position.
Space group Fm-3m (No. 225)
Inequivalent atoms, fractional coordinates:
V (0.0000, 0.0000, 0.0000) x4  8 P 2.61
P (0.2500, 0.2500, 0.2500) x8  4 Pd 2.61, 4 V 2.61
Pd (0.0000, 0.0000, 0.5000) x4  8 P 2.61